--- A ---
This record from Alexandria via LeMat-Bulk describes crystalline Y3ZrMo at its relaxed geometry. The functional is GGA-PBE.

a = 5.3140 Å, b = 5.3140 Å, c = 5.3140 Å
α = 90.00°, β = 90.00°, γ = 90.00°
With the nearest neighbours (Å) after each atom.
Element x y z (fractional)
Zr: 0.0000 0.0000 0.0000  6 Y 2.66
Y: 0.0000 0.5000 0.0000  2 Zr 2.66
Y: 0.0000 0.0000 0.5000  2 Zr 2.66
Y: 0.5000 0.0000 0.0000  2 Zr 2.66
Mo: 0.5000 0.5000 0.5000  12 Y 3.76

space-group type	Pm-3m, No. 221
crystal system	cubic
mass density	5.0	g/cm³
total moment	0.00	μB per formula unit

=====

--- B ---
This record from Alexandria via LeMat-Bulk describes crystalline Y3ZrMo at its relaxed geometry. The functional is GGA-PBE.

a = 5.3266 Å, b = 5.3266 Å, c = 5.3266 Å
α = 90.00°, β = 90.00°, γ = 90.00°
With the nearest neighbours (Å) after each atom.
Element x y z (fractional)
Mo: 0.0000 0.0000 0.0000  6 Y 2.66
Y: 0.5000 0.0000 0.0000  2 Mo 2.66
Y: 0.0000 0.5000 0.0000  2 Mo 2.66
Y: 0.0000 0.0000 0.5000  2 Mo 2.66
Zr: 0.5000 0.5000 0.5000  12 Y 3.77

space-group type	Pm-3m, No. 221
crystal system	cubic
mass density	5.0	g/cm³
total moment	1.56	μB per formula unit

=====

Taking the most stable structure as the zero point, the relative energies in meV per atom are A 793; B 0.

=====

--- A ---
This record from Alexandria via LeMat-Bulk describes crystalline Zn3Mo4 at its relaxed geometry. The functional is GGA-PBE.

a = 10.4582 Å, b = 10.4582 Å, c = 10.4582 Å
α = 162.03°, β = 162.03°, γ = 25.53°
With the nearest neighbours (Å) after each atom.
Element x y z (fractional)
Zn: 0.0000 0.0000 0.0000  10 Mo 2.77-2.78
Zn: 0.7163 0.7163 0.0000  4 Zn 2.69, 6 Mo 2.83-3.01
Zn: 0.2837 0.2837 0.0000  4 Zn 2.69, 6 Mo 2.83-3.01
Mo: 0.1362 0.1362 0.0000  4 Mo 2.63, 5 Zn 2.78-2.83
Mo: 0.8638 0.8638 0.0000  4 Mo 2.63, 5 Zn 2.78-2.83
Mo: 0.4250 0.4250 0.0000  4 Mo 2.63, 5 Zn 2.77-2.88
Mo: 0.5750 0.5750 0.0000  4 Mo 2.63, 5 Zn 2.77-2.88

space-group type	I4/mmm, No. 139
crystal system	tetragonal
mass density	8.8	g/cm³
total moment	0.00	μB per formula unit

=====

--- B ---
This record from Alexandria via LeMat-Bulk describes crystalline Zn3Mo4 at its relaxed geometry. The functional is GGA-PBE.

a = 4.9139 Å, b = 4.9139 Å, c = 4.9516 Å
α = 90.00°, β = 90.00°, γ = 120.00°
With the nearest neighbours (Å) after each atom.
Element x y z (fractional)
Zn: 0.5000 0.0000 0.0000  4 Zn 2.46
Zn: 0.0000 0.5000 0.0000  4 Zn 2.46
Zn: 0.5000 0.5000 0.0000  4 Zn 2.46
Mo: 0.0000 0.0000 0.7398  2 Mo 2.37-2.58
Mo: 0.0000 0.0000 0.2602  2 Mo 2.37-2.58
Mo: 0.3333 0.6667 0.5000  9 Mo 2.84-3.08, 6 Zn 2.85
Mo: 0.6667 0.3333 0.5000  9 Mo 2.84-3.08, 6 Zn 2.85

space-group type	P6/mmm, No. 191
crystal system	hexagonal
mass density	9.3	g/cm³
total moment	0.00	μB per formula unit

=====

Taking the most stable structure as the zero point, the relative energies in meV per atom are A 17; B 0.

=====

--- A ---
This record from Alexandria via LeMat-Bulk describes crystalline ZnMo4 at its relaxed geometry. The functional is GGA-PBE.

a = 4.5051 Å, b = 4.5051 Å, c = 4.5051 Å
α = 90.00°, β = 90.00°, γ = 90.00°
With the nearest neighbours (Å) after each atom.
Element x y z (fractional)
Mo: 0.5000 0.5000 0.0000  2 Zn 2.25
Mo: 0.0000 0.5000 0.5000  2 Zn 2.25
Mo: 0.0000 0.0000 0.0000  12 Mo 3.19
Mo: 0.5000 0.0000 0.5000  2 Zn 2.25
Zn: 0.5000 0.5000 0.5000  6 Mo 2.25

space-group type	Pm-3m, No. 221
crystal system	cubic
mass density	8.2	g/cm³
total moment	0.00	μB per formula unit

=====

--- B ---
This record from Alexandria via LeMat-Bulk describes crystalline ZnMo4 at its relaxed geometry. The functional is GGA-PBE.

a = 4.9005 Å, b = 4.9005 Å, c = 4.9005 Å
α = 109.47°, β = 109.47°, γ = 109.47°
With the nearest neighbours (Å) after each atom.
Element x y z (fractional)
Mo: 0.0000 0.0000 0.5000  2 Zn 2.45
Mo: 0.0000 0.5000 0.0000  2 Zn 2.45
Mo: 0.5000 0.5000 0.5000  2 Zn 2.45
Mo: 0.5000 0.0000 0.0000  2 Zn 2.45
Zn: 0.0000 0.0000 0.0000  8 Mo 2.45

space-group type	Im-3m, No. 229
crystal system	cubic
mass density	8.2	g/cm³
total moment	0.00	μB per formula unit

=====

Taking the most stable structure as the zero point, the relative energies in meV per atom are A 384; B 0.

=====

--- A ---
This record from Alexandria via LeMat-Bulk describes crystalline ZrZnMo at its relaxed geometry. The functional is GGA-PBE.

a = 4.8102 Å, b = 4.8102 Å, c = 2.6342 Å
α = 90.00°, β = 90.00°, γ = 120.00°
With the nearest neighbours (Å) after each atom.
Element x y z (fractional)
Mo: 0.0000 0.0000 0.0440  2 Mo 2.63, 3 Zn 2.85, 3 Zr 2.94
Zn: 0.3333 0.6667 0.2832  2 Zn 2.63, 3 Mo 2.85
Zr: 0.6667 0.3333 0.6728  2 Zr 2.63, 3 Mo 2.94

space-group type	P3m1, No. 156
crystal system	trigonal
mass density	7.9	g/cm³
total moment	0.00	μB per formula unit

=====

--- B ---
This record from Alexandria via LeMat-Bulk describes crystalline ZrZnMo at its relaxed geometry. The functional is GGA-PBE.

a = 4.3534 Å, b = 4.3534 Å, c = 4.3534 Å
α = 60.00°, β = 60.00°, γ = 60.00°
With the nearest neighbours (Å) after each atom.
Element x y z (fractional)
Zn: 0.7500 0.7500 0.7500  4 Mo 2.67, 4 Zr 2.67
Zr: 0.0000 0.0000 0.0000  4 Zn 2.67
Mo: 0.5000 0.5000 0.5000  4 Zn 2.67

space-group type	F-43m, No. 216
crystal system	cubic
mass density	7.2	g/cm³
total moment	0.00	μB per formula unit

=====

Taking the most stable structure as the zero point, the relative energies in meV per atom are A 0; B 397.

=====

--- A ---
This record from Alexandria via LeMat-Bulk describes crystalline ZrZnMo at its relaxed geometry. The functional is GGA-PBE.

a = 7.0737 Å, b = 6.9518 Å, c = 2.8292 Å
α = 80.79°, β = 75.96°, γ = 23.25°
With the nearest neighbours (Å) after each atom.
Element x y z (fractional)
Zr: 0.6661 0.6661 0.3339  4 Zr 2.83, 2 Mo 2.93, 2 Zn 2.94
Mo: 0.9931 0.9931 0.0069  4 Zn 2.71-3.01, 4 Mo 2.83, 2 Zr 2.93
Zn: 0.3408 0.3408 0.6592  4 Mo 2.71-3.01, 4 Zn 2.83, 2 Zr 2.94

space-group type	Fmm2, No. 42
crystal system	orthorhombic
mass density	8.0	g/cm³
total moment	0.00	μB per formula unit

=====

--- B ---
This record from Alexandria via LeMat-Bulk describes crystalline ZrZnMo at its relaxed geometry. The functional is GGA-PBE.

a = 4.5278 Å, b = 4.5278 Å, c = 4.5278 Å
α = 60.00°, β = 60.00°, γ = 60.00°
With the nearest neighbours (Å) after each atom.
Element x y z (fractional)
Mo: 0.0000 0.0000 0.0000  4 Zr 2.77
Zn: 0.5000 0.5000 0.5000  4 Zr 2.77
Zr: 0.7500 0.7500 0.7500  4 Mo 2.77, 4 Zn 2.77

space-group type	F-43m, No. 216
crystal system	cubic
mass density	6.4	g/cm³
total moment	1.90	μB per formula unit

=====

Taking the most stable structure as the zero point, the relative energies in meV per atom are A 0; B 995.

=====

--- A ---
This record from Alexandria via LeMat-Bulk describes crystalline ZrZnMo at its relaxed geometry. The functional is GGA-PBE.

a = 6.9434 Å, b = 6.9434 Å, c = 6.9434 Å
α = 156.74°, β = 156.74°, γ = 33.13°
With the nearest neighbours (Å) after each atom.
Element x y z (fractional)
Mo: 0.9887 0.9887 0.0000  4 Zn 2.80, 4 Mo 2.80, 4 Zr 3.13
Zn: 0.3402 0.3402 0.0000  4 Mo 2.80, 4 Zn 2.80, 4 Zr 3.00
Zr: 0.6711 0.6711 0.0000  4 Zr 2.80, 4 Zn 3.00, 4 Mo 3.13

space-group type	I4mm, No. 107
crystal system	tetragonal
mass density	8.0	g/cm³
total moment	0.00	μB per formula unit

=====

--- B ---
This record from Alexandria via LeMat-Bulk describes crystalline ZrZnMo at its relaxed geometry. The functional is GGA-PBE.

a = 5.0225 Å, b = 5.0225 Å, c = 5.0225 Å
α = 139.75°, β = 139.73°, γ = 58.25°
With the nearest neighbours (Å) after each atom.
Element x y z (fractional)
Mo: 0.9897 0.9897 0.0000  4 Zn 2.76, 5 Zr 2.84-2.89
Zr: 0.6662 0.6662 0.0000  5 Zn 2.83-2.90, 5 Mo 2.84-2.89
Zn: 0.3441 0.3441 0.0000  4 Mo 2.76, 5 Zr 2.83-2.90

space-group type	I4mm, No. 107
crystal system	tetragonal
mass density	8.0	g/cm³
total moment	0.00	μB per formula unit

=====

Taking the most stable structure as the zero point, the relative energies in meV per atom are A 73; B 0.